The following is a GGA-PBE calculation of a relaxed Ta2HgP crystal, from the Alexandria database.

Properties
- excess energy over the best structure of this formula in the dataset (meV/atom) = 875
- DFT formation energy (meV per atom) = 737
- VASP energy (eV per cell) = -26.47

Unit cell a=4.7039 b=4.7039 c=4.7039 alpha=60.00 beta=60.00 gamma=60.00
Element x y z (fractional)
Ta 0.0000 0.0000 0.0000
Ta 0.2500 0.2500 0.2500
Hg 0.7500 0.7500 0.7500
P 0.5000 0.5000 0.5000

=====

The following is a GGA-PBE calculation of a relaxed Ta2HgP crystal, from the Alexandria database.

Properties
- excess energy over the best structure of this formula in the dataset (meV/atom) = 150
- DFT formation energy (meV per atom) = 12
- VASP energy (eV per cell) = -29.37

Unit cell a=3.2885 b=3.2885 c=7.1227 alpha=90.00 beta=90.00 gamma=90.00
Element x y z (fractional)
Ta 0.0000 0.0000 0.0000
Ta 0.5000 0.5000 0.2441
Hg 0.0000 0.0000 0.5194
P 0.5000 0.5000 0.8627

=====

The following is a GGA-PBE calculation of a relaxed Ta2HgP crystal, from the Alexandria database.

Properties
- excess energy over the best structure of this formula in the dataset (meV/atom) = 403
- DFT formation energy (meV per atom) = 265
- VASP energy (eV per cell) = -28.36

Unit cell a=4.7018 b=4.7018 c=3.1106 alpha=90.00 beta=90.00 gamma=90.00
Element x y z (fractional)
Ta 0.0000 0.5000 0.0000
Ta 0.5000 0.0000 0.0000
Hg 0.0000 0.0000 0.5000
P 0.5000 0.5000 0.5000

=====

The following is a GGA-PBE calculation of a relaxed Ta2HgP crystal, from the Alexandria database.

Properties
- excess energy over the best structure of this formula in the dataset (meV/atom) = 277
- DFT formation energy (meV per atom) = 139
- VASP energy (eV per cell) = -28.86

Unit cell a=5.2988 b=5.2988 c=4.6179 alpha=103.61 beta=103.61 gamma=34.72
Element x y z (fractional)
Ta 0.0000 0.0000 0.0000
Ta 0.1908 0.1908 0.6075
Hg 0.4402 0.4402 0.4655
P 0.7008 0.7008 0.0772